1.
Entry from the Alexandria database: a relaxed structure of ScPa2C (PBE).

Values from the calculation:
- crystal system = trigonal
- V (Å³/cell) = 84.56
- DFT total energy (eV per atom) = -8.65

Lattice parameters (Å, degrees): 3.261 3.261 9.373 79.98 79.98 60.00
Atoms (fractional coordinates):
Sc1 0.000 0.000 0.000
C1 0.500 0.500 0.500
Pa1 0.111 0.111 0.666
Pa2 0.889 0.889 0.334

2.
Entry from the Alexandria database: a relaxed structure of YTmCd (PBE).

Values from the calculation:
- E above lowest polymorph (meV per atom) = 280
- crystal system = trigonal
- V (Å³/cell) = 189.70

Lattice parameters (Å, degrees): 5.113 5.113 8.883 73.27 73.27 60.00
Atoms (fractional coordinates):
Y1 0.123 0.123 0.630
Y2 0.877 0.877 0.370
Tm1 0.627 0.627 0.119
Tm2 0.373 0.373 0.881
Cd1 0.750 0.750 0.751
Cd2 0.250 0.250 0.249

3.
Entry from the Alexandria database: a relaxed structure of SrHgIr (PBE).

Values from the calculation:
- crystal system = hexagonal
- V (Å³/cell) = 78.00
- DFT total energy (eV per atom) = -3.67

Lattice parameters (Å, degrees): 4.652 4.652 4.163 90.00 90.00 120.00
Atoms (fractional coordinates):
Hg1 0.000 0.000 0.166
Ir1 0.667 0.333 0.167
Sr1 0.333 0.667 0.667

4.
Entry from the Alexandria database: a relaxed structure of RbErCdSe3 (PBE).

Values from the calculation:
- crystal system = monoclinic
- V (Å³/cell) = 384.60
- energy relative to the elements, uncorrected (meV per atom) = -1333

Lattice parameters (Å, degrees): 4.259 9.212 10.390 109.36 90.00 90.00
Atoms (fractional coordinates):
Rb1 0.250 0.217 0.238
Rb2 0.750 0.783 0.762
Er1 0.250 0.669 0.133
Er2 0.750 0.331 0.867
Cd1 0.250 0.084 0.612
Cd2 0.750 0.916 0.388
Se1 0.750 0.882 0.129
Se2 0.250 0.118 0.871
Se3 0.250 0.772 0.450
Se4 0.750 0.228 0.550
Se5 0.750 0.469 0.150
Se6 0.250 0.531 0.850

5.
Entry from the Alexandria database: a relaxed structure of TbNpSbO6 (PBE).

Values from the calculation:
- crystal system = trigonal
- V (Å³/cell) = 269.74
- energy relative to the elements, uncorrected (meV per atom) = -2485

Lattice parameters (Å, degrees): 5.787 5.787 9.301 90.00 90.00 120.00
Site moments in Bohr magnetons follow the coordinates.
Atoms (fractional coordinates):
Tb1 0.333 0.667 0.250  0.00
Tb2 0.667 0.333 0.750  0.00
Np1 0.667 0.333 0.250  1.23
Np2 0.333 0.667 0.750  1.23
Sb1 0.000 0.000 0.000  -0.01
Sb2 0.000 0.000 0.500  -0.01
O1 0.669 0.642 0.132  -0.04
O2 0.972 0.331 0.132  -0.04
O3 0.331 0.972 0.632  -0.04
O4 0.028 0.669 0.868  -0.04
O5 0.358 0.331 0.368  -0.04
O6 0.972 0.642 0.368  -0.04
O7 0.642 0.972 0.868  -0.04
O8 0.669 0.028 0.368  -0.04
O9 0.028 0.358 0.632  -0.04
O10 0.358 0.028 0.132  -0.04
O11 0.642 0.669 0.632  -0.04
O12 0.331 0.358 0.868  -0.04

6.
Entry from the Alexandria database: a relaxed structure of Sm2Pd5Pt5 (PBE).

Values from the calculation:
- crystal system = orthorhombic
- V (Å³/cell) = 222.22
- DFT total energy (eV per atom) = -6.10

Lattice parameters (Å, degrees): 4.492 5.361 9.229 90.00 90.00 90.00
Atoms (fractional coordinates):
Sm1 0.000 0.500 0.000
Sm2 0.000 0.000 0.500
Pd1 0.000 0.500 0.333
Pd2 0.000 0.000 0.832
Pd3 0.000 0.000 0.168
Pd4 0.000 0.500 0.667
Pd5 0.500 0.000 0.000
Pt1 0.500 0.500 0.500
Pt2 0.500 0.751 0.251
Pt3 0.500 0.249 0.749
Pt4 0.500 0.249 0.251
Pt5 0.500 0.751 0.749